Here is crystalline Li2ReSe at its relaxed geometry from the Alexandria database. Energies are from PBE-GGA.

Output
The uncorrected formation energy is 0.142 eV/atom. Its symmetry is P2/m. The value obtained for the density of states at the Fermi level is 2.6 states/eV/cell.

Lattice parameters (Å, degrees): 3.8245 2.9984 5.8271 58.90 90.00 90.00
Fractional positions:
Li: 0.0000 0.0021 0.9981
Li: 0.0000 0.4979 0.5019
Re: 0.5000 0.2500 0.2500
Se: 0.5000 0.7500 0.7500